Density functional theory data (GGA+U) for crystalline VRuO3 at its relaxed geometry.

a b c (Å): 3.903 3.903 3.903
angles (deg): 90.00 90.00 90.00
Positions (direct):
V 0.500 0.500 0.500
O 0.000 0.000 0.500
O 0.000 0.500 0.000
O 0.500 0.000 0.000
Ru 0.000 0.000 0.000

Computed properties:
space group: Pm-3m (221)
total energy: -6.800 eV/atom